[1]
## Cs3Sm2ThSe6 (GGA-PBE)

Data for Cs3Sm2ThSe6 after structural relaxation.

DOS(E_F)	4.31	states/eV per cell
formation energy from raw total energies	-1667	meV per atom
final energy	-5.027	eV per atom

abc: 7.507 7.507 8.798
angles: 98.17 98.17 120.00
Atoms (fractional coordinates):
Cs 0.000 0.000 0.000
Cs 0.332 0.668 0.000
Cs 0.668 0.332 0.000
Sm 0.167 0.833 0.500
Sm 0.833 0.167 0.500
Th 0.500 0.500 0.500
Se 0.106 0.437 0.309
Se 0.233 0.233 0.691
Se 0.437 0.106 0.309
Se 0.563 0.894 0.691
Se 0.767 0.767 0.309
Se 0.894 0.563 0.691


[2]
## CsSmTiSe4 (GGA-PBE)

Data for CsSmTiSe4 after structural relaxation.

DOS(E_F)	0.00	states/eV per cell
formation energy from raw total energies	-1470	meV per atom
final energy	-5.385	eV per atom

abc: 6.937 7.143 9.948
angles: 90.00 108.53 90.00
Atoms (fractional coordinates):
Cs 0.236 0.250 0.440
Cs 0.764 0.750 0.560
Sm 0.284 0.250 0.956
Sm 0.716 0.750 0.044
Ti 0.272 0.750 0.162
Ti 0.728 0.250 0.838
Se 0.061 0.750 0.925
Se 0.066 0.750 0.313
Se 0.489 0.506 0.801
Se 0.489 0.994 0.801
Se 0.511 0.006 0.199
Se 0.511 0.494 0.199
Se 0.934 0.250 0.687
Se 0.939 0.250 0.075


[3]
## Cs3Sm3TiSe8 (GGA-PBE)

Data for Cs3Sm3TiSe8 after structural relaxation.

formation energy from raw total energies	-1573	meV per atom
final energy	-5.072	eV per atom

abc: 9.834 9.834 9.834
angles: 50.41 50.41 50.41
Atoms (fractional coordinates):
Cs 0.000 0.500 0.500
Cs 0.500 0.000 0.500
Cs 0.500 0.500 0.000
Sm 0.000 0.000 0.500
Sm 0.000 0.500 0.000
Sm 0.500 0.000 0.000
Ti 0.500 0.500 0.500
Se 0.230 0.230 0.230
Se 0.256 0.710 0.710
Se 0.290 0.290 0.744
Se 0.290 0.744 0.290
Se 0.710 0.256 0.710
Se 0.710 0.710 0.256
Se 0.744 0.290 0.290
Se 0.770 0.770 0.770


[4]
## Cs2Sm2TiSe6 (GGA-PBE)

Data for Cs2Sm2TiSe6 after structural relaxation.

formation energy from raw total energies	-1527	meV per atom
final energy	-5.159	eV per atom

abc: 7.100 7.100 8.911
angles: 98.24 98.24 119.43
Atoms (fractional coordinates):
Cs 0.173 0.827 0.000
Cs 0.827 0.173 0.000
Sm 0.333 0.667 0.500
Sm 0.667 0.333 0.500
Ti 0.000 0.000 0.500
Se 0.066 0.367 0.681
Se 0.237 0.237 0.322
Se 0.367 0.066 0.681
Se 0.633 0.934 0.319
Se 0.763 0.763 0.678
Se 0.934 0.633 0.319


[5]
## Cs3Sm2TlSe6 (GGA-PBE)

Data for Cs3Sm2TlSe6 after structural relaxation.

formation energy from raw total energies	-1308	meV per atom
final energy	-4.248	eV per atom

abc: 7.527 7.527 8.780
angles: 98.23 98.23 119.95
Atoms (fractional coordinates):
Cs 0.000 0.000 0.000
Cs 0.333 0.667 0.000
Cs 0.667 0.333 0.000
Sm 0.166 0.834 0.500
Sm 0.834 0.166 0.500
Tl 0.500 0.500 0.500
Se 0.104 0.437 0.311
Se 0.229 0.229 0.690
Se 0.437 0.104 0.311
Se 0.563 0.896 0.689
Se 0.771 0.771 0.310
Se 0.896 0.563 0.689


[6]
## Cs3Sm2TmSe6 (GGA-PBE)

Data for Cs3Sm2TmSe6 after structural relaxation.

DOS(E_F)	0.00	states/eV per cell
formation energy from raw total energies	-1722	meV per atom
final energy	-4.836	eV per atom

abc: 7.462 7.462 8.747
angles: 98.18 98.18 120.00
Atoms (fractional coordinates):
Cs 0.000 0.000 0.000
Cs 0.331 0.669 0.000
Cs 0.669 0.331 0.000
Sm 0.167 0.833 0.500
Sm 0.833 0.167 0.500
Tm 0.500 0.500 0.500
Se 0.112 0.438 0.313
Se 0.237 0.237 0.687
Se 0.438 0.112 0.313
Se 0.562 0.888 0.687
Se 0.763 0.763 0.313
Se 0.888 0.562 0.687


[7]
## Cs4Sm3TmSe8 (GGA-PBE)

Data for Cs4Sm3TmSe8 after structural relaxation.

DOS(E_F)	0.00	states/eV per cell
formation energy from raw total energies	-1726	meV per atom
final energy	-4.846	eV per atom

abc: 8.639 8.639 9.764
angles: 116.26 116.26 60.00
Atoms (fractional coordinates):
Cs 0.000 0.000 0.000
Cs 0.000 0.500 0.000
Cs 0.500 0.000 0.000
Cs 0.500 0.500 0.000
Sm 0.000 0.000 0.500
Sm 0.000 0.500 0.500
Sm 0.500 0.000 0.500
Tm 0.500 0.500 0.500
Se 0.230 0.230 0.689
Se 0.236 0.726 0.687
Se 0.274 0.764 0.313
Se 0.275 0.275 0.314
Se 0.725 0.725 0.686
Se 0.726 0.236 0.687
Se 0.764 0.274 0.313
Se 0.770 0.770 0.311


[8]
## Cs2SmUSe6 (GGA-PBE)

Data for Cs2SmUSe6 after structural relaxation.

DOS(E_F)	13.23	states/eV per cell
formation energy from raw total energies	-1255	meV per atom
final energy	-5.117	eV per atom

abc: 7.885 11.151 7.885
angles: 90.00 90.00 90.00
Atoms (fractional coordinates):
Cs 0.250 0.000 0.250
Cs 0.250 0.500 0.250
Cs 0.750 0.000 0.750
Cs 0.750 0.500 0.750
Sm 0.250 0.250 0.750
Sm 0.750 0.750 0.250
U 0.250 0.750 0.750
U 0.750 0.250 0.250
Se 0.009 0.750 0.509
Se 0.009 0.750 0.990
Se 0.250 0.509 0.750
Se 0.250 0.991 0.750
Se 0.491 0.750 0.509
Se 0.491 0.750 0.990
Se 0.509 0.250 0.010
Se 0.509 0.250 0.491
Se 0.750 0.009 0.250
Se 0.750 0.491 0.250
Se 0.991 0.250 0.010
Se 0.991 0.250 0.491


[9]
## Cs3SmU3Se8 (GGA-PBE)

Data for Cs3SmU3Se8 after structural relaxation.

DOS(E_F)	17.90	states/eV per cell
formation energy from raw total energies	-1362	meV per atom
final energy	-5.964	eV per atom

abc: 9.843 9.843 9.843
angles: 51.03 51.03 51.03
Atoms (fractional coordinates):
Cs 0.000 0.500 0.500
Cs 0.500 0.000 0.500
Cs 0.500 0.500 0.000
Sm 0.500 0.500 0.500
U 0.000 0.000 0.500
U 0.000 0.500 0.000
U 0.500 0.000 0.000
Se 0.222 0.731 0.731
Se 0.229 0.229 0.229
Se 0.269 0.269 0.778
Se 0.269 0.778 0.269
Se 0.731 0.222 0.731
Se 0.731 0.731 0.222
Se 0.771 0.771 0.771
Se 0.778 0.269 0.269


[10]
## Cs2SmUSe4 (GGA-PBE)

Data for Cs2SmUSe4 after structural relaxation.

DOS(E_F)	7.74	states/eV per cell
formation energy from raw total energies	-1453	meV per atom
final energy	-5.409	eV per atom

abc: 7.484 4.325 8.775
angles: 90.00 106.55 90.00
Atoms (fractional coordinates):
Cs 0.000 0.000 0.000
Cs 0.500 0.500 0.000
Sm 0.000 0.500 0.500
U 0.500 0.000 0.500
Se 0.233 0.000 0.689
Se 0.274 0.500 0.313
Se 0.726 0.500 0.687
Se 0.767 0.000 0.311


[11]
## Cs2Sm2USe6 (GGA-PBE)

Data for Cs2Sm2USe6 after structural relaxation.

DOS(E_F)	7.20	states/eV per cell
formation energy from raw total energies	-1593	meV per atom
final energy	-5.533	eV per atom

abc: 7.374 7.374 8.946
angles: 98.15 98.15 119.83
Atoms (fractional coordinates):
Cs 0.169 0.831 0.000
Cs 0.831 0.169 0.000
Sm 0.333 0.667 0.500
Sm 0.667 0.333 0.500
U 0.000 0.000 0.500
Se 0.063 0.387 0.684
Se 0.260 0.260 0.317
Se 0.387 0.063 0.684
Se 0.613 0.937 0.316
Se 0.740 0.740 0.683
Se 0.937 0.613 0.316


[12]
## CsSm2USe5 (GGA-PBE)

Data for CsSm2USe5 after structural relaxation.

DOS(E_F)	7.13	states/eV per cell
formation energy from raw total energies	-1481	meV per atom
final energy	-5.815	eV per atom

abc: 8.547 8.547 8.547
angles: 143.73 127.00 65.92
Atoms (fractional coordinates):
Cs 0.000 0.000 0.000
Sm 0.296 0.796 0.500
Sm 0.704 0.204 0.500
U 0.500 0.500 0.000
Se 0.111 0.345 0.766
Se 0.421 0.655 0.766
Se 0.500 0.000 0.500
Se 0.579 0.345 0.234
Se 0.889 0.655 0.234


[13]
## Cs3Sm3VSe8 (GGA-PBE)

Data for Cs3Sm3VSe8 after structural relaxation.

DOS(E_F)	6.36	states/eV per cell
formation energy from raw total energies	-1440	meV per atom
final energy	-5.021	eV per atom

abc: 9.837 9.837 9.837
angles: 50.23 50.23 50.23
Atoms (fractional coordinates):
Cs 0.000 0.500 0.500
Cs 0.500 0.000 0.500
Cs 0.500 0.500 0.000
Sm 0.000 0.000 0.500
Sm 0.000 0.500 0.000
Sm 0.500 0.000 0.000
V 0.500 0.500 0.500
Se 0.230 0.230 0.230
Se 0.259 0.708 0.708
Se 0.292 0.292 0.741
Se 0.292 0.741 0.292
Se 0.708 0.259 0.708
Se 0.708 0.708 0.259
Se 0.741 0.292 0.292
Se 0.770 0.770 0.770


[14]
## Cs3SmY2Se6 (GGA-PBE)

Data for Cs3SmY2Se6 after structural relaxation.

DOS(E_F)	0.00	states/eV per cell
formation energy from raw total energies	-1734	meV per atom
final energy	-5.160	eV per atom

abc: 7.443 7.443 8.742
angles: 98.17 98.17 119.99
Atoms (fractional coordinates):
Cs 0.000 0.000 0.000
Cs 0.334 0.666 0.000
Cs 0.666 0.334 0.000
Sm 0.500 0.500 0.500
Y 0.167 0.833 0.500
Y 0.833 0.167 0.500
Se 0.100 0.438 0.313
Se 0.224 0.224 0.687
Se 0.438 0.100 0.313
Se 0.562 0.900 0.687
Se 0.776 0.776 0.313
Se 0.900 0.562 0.687


[15]
## Cs3Sm2YSe6 (GGA-PBE)

Data for Cs3Sm2YSe6 after structural relaxation.

DOS(E_F)	0.00	states/eV per cell
formation energy from raw total energies	-1732	meV per atom
final energy	-5.013	eV per atom

abc: 7.491 7.491 8.754
angles: 98.20 98.20 120.00
Atoms (fractional coordinates):
Cs 0.000 0.000 0.000
Cs 0.332 0.668 0.000
Cs 0.668 0.332 0.000
Sm 0.167 0.833 0.500
Sm 0.833 0.167 0.500
Y 0.500 0.500 0.500
Se 0.109 0.437 0.312
Se 0.234 0.234 0.688
Se 0.437 0.109 0.312
Se 0.563 0.891 0.688
Se 0.766 0.766 0.312
Se 0.891 0.563 0.688


[16]
## Cs2SmZn2Se4 (GGA-PBE)

Data for Cs2SmZn2Se4 after structural relaxation.

DOS(E_F)	3.86	states/eV per cell
formation energy from raw total energies	-1104	meV per atom
final energy	-3.650	eV per atom

abc: 8.364 8.364 8.432
angles: 108.46 108.46 30.47
Atoms (fractional coordinates):
Cs 0.132 0.132 0.057
Cs 0.868 0.868 0.943
Sm 0.000 0.000 0.500
Zn 0.325 0.325 0.511
Zn 0.675 0.675 0.489
Se 0.197 0.197 0.655
Se 0.476 0.476 0.721
Se 0.524 0.524 0.279
Se 0.803 0.803 0.345


[17]
## Cs3Sm2ZrSe6 (GGA-PBE)

Data for Cs3Sm2ZrSe6 after structural relaxation.

DOS(E_F)	4.61	states/eV per cell
formation energy from raw total energies	-1558	meV per atom
final energy	-5.012	eV per atom

abc: 7.313 7.313 8.753
angles: 98.02 98.02 120.00
Atoms (fractional coordinates):
Cs 0.000 0.000 0.000
Cs 0.330 0.670 0.000
Cs 0.670 0.330 0.000
Sm 0.166 0.834 0.500
Sm 0.834 0.166 0.500
Zr 0.500 0.500 0.500
Se 0.122 0.438 0.313
Se 0.247 0.247 0.689
Se 0.438 0.122 0.313
Se 0.562 0.878 0.687
Se 0.753 0.753 0.311
Se 0.878 0.562 0.687


[18]
## Cs2SnSe2 (GGA-PBE)

Data for Cs2SnSe2 after structural relaxation.

DOS(E_F)	10.43	states/eV per cell
formation energy from raw total energies	-603	meV per atom
energy above the lowest structure with this stoichiometry	289	meV per atom
final energy	-3.139	eV per atom

abc: 8.322 8.322 5.511
angles: 90.00 90.00 90.00
Atoms (fractional coordinates):
Cs 0.148 0.352 0.000
Cs 0.352 0.852 0.000
Cs 0.648 0.148 0.000
Cs 0.852 0.648 0.000
Sn 0.000 0.000 0.500
Sn 0.500 0.500 0.500
Se 0.178 0.678 0.500
Se 0.322 0.178 0.500
Se 0.678 0.822 0.500
Se 0.822 0.322 0.500


[19]
## CsSnSe3 (GGA-PBE)

Data for CsSnSe3 after structural relaxation.

DOS(E_F)	2.51	states/eV per cell
formation energy from raw total energies	-571	meV per atom
energy above the lowest structure with this stoichiometry	128	meV per atom
final energy	-3.633	eV per atom

abc: 7.874 13.622 7.351
angles: 90.00 98.84 90.00
Atoms (fractional coordinates):
Cs 0.246 0.062 0.240
Cs 0.246 0.438 0.740
Cs 0.754 0.562 0.260
Cs 0.754 0.938 0.760
Sn 0.295 0.719 0.376
Sn 0.295 0.781 0.876
Sn 0.705 0.219 0.124
Sn 0.705 0.281 0.624
Se 0.042 0.673 0.916
Se 0.042 0.827 0.416
Se 0.228 0.551 0.235
Se 0.228 0.949 0.735
Se 0.500 0.189 0.815
Se 0.500 0.311 0.315
Se 0.500 0.689 0.685
Se 0.500 0.811 0.185
Se 0.772 0.051 0.265
Se 0.772 0.449 0.765
Se 0.958 0.173 0.584
Se 0.958 0.327 0.084


[20]
## CsSnSe3 (GGA-PBE)

Data for CsSnSe3 after structural relaxation.

formation energy from raw total energies	-699	meV per atom
energy above the lowest structure with this stoichiometry	0	meV per atom
final energy	-3.761	eV per atom

abc: 7.214 8.030 8.120
angles: 102.34 114.05 106.48
Atoms (fractional coordinates):
Cs 0.223 0.188 0.349
Cs 0.777 0.812 0.651
Sn 0.219 0.507 0.928
Sn 0.781 0.493 0.072
Se 0.189 0.604 0.631
Se 0.225 0.704 0.229
Se 0.339 0.235 0.931
Se 0.661 0.765 0.069
Se 0.775 0.296 0.771
Se 0.811 0.396 0.369